TaCo2Te | Alexandria | meta-GGA SCAN | single point on PBEsol structure; formation energy without anion corrections = 0.383 eV per atom; Fermi-level density of states = 0.9863 states/eV/atom
1.0
-1.9744 1.9744 3.6657
1.9744 -1.9744 3.6657
1.9744 1.9744 -3.6657
Ta Co Te
1 2 1
Direct
0.0000 0.0000 0.0000
0.2500 0.7500 0.5000
0.7500 0.2500 0.5000
0.5000 0.5000 0.0000

TaCo2Te | Alexandria | meta-GGA SCAN | single point on PBEsol structure; formation energy without anion corrections = 0.245 eV per atom; Fermi-level density of states = 0.6705 states/eV/atom
1.0
3.9482 0.0000 0.0000
0.0000 3.9482 0.0000
0.0000 0.0000 3.6425
Ta Co Te
1 2 1
Direct
0.0000 0.0000 0.0000
0.0000 0.5000 0.5000
0.5000 0.0000 0.5000
0.5000 0.5000 0.0000

TaCo2Te2 | Alexandria | meta-GGA SCAN | single point on PBEsol structure; formation energy without anion corrections = -0.272 eV per atom; Fermi-level density of states = 0.3407 states/eV/atom
1.0
18.0018 0.0000 0.0000
0.0000 6.4616 0.0000
0.0000 0.0000 6.4367
Ta Co Te
8 16 16
Direct
0.2237 0.2500 0.1505
0.2357 0.7500 0.1506
0.2643 0.2500 0.6506
0.2763 0.7500 0.6505
0.7237 0.2500 0.3495
0.7357 0.7500 0.3494
0.7643 0.2500 0.8494
0.7763 0.7500 0.8495
0.1822 0.5346 0.4542
0.1820 0.5358 0.8465
0.1820 0.9642 0.8465
0.1822 0.9654 0.4542
0.3178 0.0346 0.9542
0.3180 0.0358 0.3465
0.3180 0.4642 0.3465
0.3178 0.4654 0.9542
0.6822 0.5346 0.0458
0.6820 0.5358 0.6535
0.6820 0.9642 0.6535
0.6822 0.9654 0.0458
0.8178 0.0346 0.5458
0.8180 0.0358 0.1535
0.8180 0.4642 0.1535
0.8178 0.4654 0.5458
0.0896 0.7500 0.6491
0.0941 0.5020 0.1503
0.0941 0.9980 0.1503
0.1089 0.2500 0.6522
0.3911 0.7500 0.1522
0.4059 0.0020 0.6503
0.4059 0.4980 0.6503
0.4104 0.2500 0.1491
0.5896 0.7500 0.8509
0.5941 0.5020 0.3497
0.5941 0.9980 0.3497
0.6089 0.2500 0.8478
0.8911 0.7500 0.3478
0.9059 0.0020 0.8497
0.9059 0.4980 0.8497
0.9104 0.2500 0.3509

Ta2TlCo | Alexandria | meta-GGA SCAN | single point on PBEsol structure; energy of formation from the pure elements = 141 kJ/mol of formula units; Fermi-level density of states = 1.0143 states/eV/atom
1.0
-1.7043 2.1844 4.4078
1.7043 -2.1844 4.4078
1.7043 2.1844 -4.4078
Ta Tl Co
2 1 1
Direct
0.2313 0.2313 0.0000
0.7687 0.7687 0.0000
0.5000 0.0000 0.5000
0.0000 0.5000 0.5000

Ta4TlCo | Alexandria | meta-GGA SCAN | single point on PBEsol structure; energy of formation from the pure elements = 404 kJ/mol of formula units; Fermi-level density of states = 0.8743 states/eV/atom
1.0
0.0000 3.7937 3.7937
3.7937 0.0000 3.7937
3.7937 3.7937 0.0000
Ta Tl Co
4 1 1
Direct
0.1249 0.1249 0.1249
0.1249 0.1249 0.6253
0.1249 0.6253 0.1249
0.6253 0.1249 0.1249
0.7500 0.7500 0.7500
0.5000 0.5000 0.5000

TaTlCo3 | Alexandria | meta-GGA SCAN | single point on PBEsol structure; energy of formation from the pure elements = 964 kJ/mol of formula units; Fermi-level density of states = 0.8696 states/eV/atom
1.0
4.5218 0.0000 0.0000
0.0000 4.5218 0.0000
0.0000 0.0000 4.5218
Ta Tl Co
1 1 3
Direct
0.0000 0.0000 0.0000
0.5000 0.5000 0.5000
0.0000 0.5000 0.5000
0.5000 0.0000 0.5000
0.5000 0.5000 0.0000

TaCo2W | Alexandria | meta-GGA SCAN | single point on PBEsol structure; energy of formation from the pure elements = 34 kJ/mol of formula units; Fermi-level density of states = 0.7864 states/eV/atom
1.0
2.6911 -3.6202 0.0000
2.6911 3.6202 0.0000
0.0000 0.0000 2.6962
Ta Co W
1 2 1
Direct
0.0000 0.0000 0.0000
0.0000 0.5000 0.5000
0.5000 0.0000 0.5000
0.5000 0.5000 0.0000

TaCo4W | Alexandria | meta-GGA SCAN | single point on PBEsol structure; energy of formation from the pure elements = 21 kJ/mol of formula units; Fermi-level density of states = 0.9942 states/eV/atom
1.0
0.0000 3.2908 3.2908
3.2908 0.0000 3.2908
3.2908 3.2908 0.0000
Ta Co W
1 4 1
Direct
0.0000 0.0000 0.0000
0.3752 0.3752 0.3752
0.3752 0.3752 0.8743
0.3752 0.8743 0.3752
0.8743 0.3752 0.3752
0.7500 0.7500 0.7500